# PuHfCu2

A relaxed PuHfCu2 crystal (GGA-PBE, Alexandria).

Summary:
ΔH_f (0 K) = 0.10 eV per atom
SG = No. 225
Energy above the lowest structure with this stoichiometry = 118 meV/atom

a b c (Å): 4.739 4.739 4.739
angles (deg): 60.00 60.00 60.00
Last column: magnetic moment on the atom in μB.
Atoms (fractional coordinates):
1 Hf 0.500 0.500 0.500  0.32
2 Cu 0.250 0.250 0.250  0.06
3 Cu 0.750 0.750 0.750  0.06
4 Pu 0.000 0.000 0.000  5.16


# PuHf2Cu

A relaxed PuHf2Cu crystal (GGA-PBE, Alexandria).

Summary:
ΔH_f (0 K) = 0.38 eV per atom
SG = No. 166
Energy above the lowest structure with this stoichiometry = 371 meV/atom

a b c (Å): 3.053 3.053 10.668
angles (deg): 81.77 81.77 60.00
Last column: magnetic moment on the atom in μB.
Atoms (fractional coordinates):
1 Pu 0.000 0.000 0.000  5.14
2 Cu 0.500 0.500 0.500  0.02
3 Hf 0.902 0.902 0.294  -0.04
4 Hf 0.098 0.098 0.706  -0.04


# PuHfCuRe

A relaxed PuHfCuRe crystal (GGA-PBE, Alexandria).

Summary:
ΔH_f (0 K) = 0.02 eV per atom
SG = No. 216

a b c (Å): 4.717 4.717 4.717
angles (deg): 60.00 60.00 60.00
Last column: magnetic moment on the atom in μB.
Atoms (fractional coordinates):
1 Re 0.500 0.500 0.500  0.18
2 Pu 0.250 0.250 0.250  -5.00
3 Hf 0.750 0.750 0.750  -0.15
4 Cu 0.000 0.000 0.000  -0.05


# Pu2HfCuS5

A relaxed Pu2HfCuS5 crystal (GGA-PBE, Alexandria).

Summary:
Energy relative to the elements, uncorrected = -1.43 eV per atom
SG = No. 36

a b c (Å): 3.771 8.428 11.427
angles (deg): 90.00 90.00 102.93
Last column: magnetic moment on the atom in μB.
Atoms (fractional coordinates):
1 Hf 0.197 0.394 0.014  0.07
2 Cu 0.434 0.868 0.446  -0.02
3 Cu 0.566 0.132 0.946  -0.02
4 S 0.502 0.004 0.274  -0.12
5 Pu 0.891 0.782 0.189  5.26
6 S 0.355 0.710 0.005  -0.08
7 S 0.498 0.996 0.774  -0.12
8 Pu 0.123 0.246 0.313  5.24
9 Pu 0.877 0.754 0.813  5.24
10 S 0.645 0.290 0.505  -0.08
11 S 0.304 0.609 0.357  -0.03
12 S 0.288 0.575 0.668  -0.05
13 S 0.049 0.098 0.057  -0.03
14 S 0.696 0.391 0.857  -0.03
15 Pu 0.109 0.218 0.689  5.26
16 Hf 0.803 0.606 0.514  0.07
17 S 0.951 0.902 0.557  -0.03
18 S 0.712 0.425 0.168  -0.05


# RbHf2Cu

A relaxed RbHf2Cu crystal (GGA-PBE, Alexandria).

Summary:
ΔH_f (0 K) = 1.23 eV per atom
SG = No. 225
Energy above the lowest structure with this stoichiometry = 0 meV/atom

a b c (Å): 4.934 4.934 4.934
angles (deg): 60.00 60.00 60.00
Atoms (fractional coordinates):
1 Hf 0.750 0.750 0.750
2 Cu 0.000 0.000 0.000
3 Rb 0.500 0.500 0.500
4 Hf 0.250 0.250 0.250


# RbHfCu3

A relaxed RbHfCu3 crystal (GGA-PBE, Alexandria).

Summary:
ΔH_f (0 K) = 0.86 eV per atom
SG = No. 221
Energy above the lowest structure with this stoichiometry = 0 meV/atom

a b c (Å): 5.168 5.168 5.168
angles (deg): 90.00 90.00 90.00
Atoms (fractional coordinates):
1 Cu 0.500 0.000 0.000
2 Hf 0.000 0.000 0.000
3 Rb 0.500 0.500 0.500
4 Cu 0.000 0.500 0.000
5 Cu 0.000 0.000 0.500


| no. | size of the total moment (μB per formula unit) |
| --- | --- |
| 1 | 6.0 |
| 2 | 5.2 |
| 3 | 5.4 |
| 4 | 10.7 |
| 5 | 0.0 |
| 6 | 0.0 |